Record 1
Density functional theory data (PBE-GGA) for an optimized crystal structure of ErZrTe2.

Structure (extended XYZ):
```
4
Lattice="3.6442 0.0000 0.0000 0.0000 3.6442 0.0000 0.0000 0.0000 7.3501" Properties=species:S:1:pos:R:3 pbc="T T T"
Er 0.0000 0.0000 0.0000
Zr 0.0000 0.0000 3.6751
Te 1.8221 1.8221 1.9337
Te 1.8221 1.8221 5.4164
```

Calculated values
- formation energy from raw total energies (eV/atom) = -0.91
- distance to the lowest polymorph of the same formula (meV per atom) = 123
- symmetry = No. 123



Record 2
Density functional theory data (PBE-GGA) for an optimized crystal structure of Er3ZrTe6.

Structure (extended XYZ):
```
20
Lattice="6.2621 3.6154 5.1009 -6.2621 3.6154 5.1009 0.0000 -7.2308 5.1009" Properties=species:S:1:pos:R:3 pbc="T T T"
Er -3.0937 0.6690 4.6046
Er 0.9675 -3.0137 4.6046
Er -2.1262 -2.3447 10.6982
Er 2.1262 2.3448 4.6046
Er -0.9675 3.0137 10.6982
Er 3.0937 -0.6690 10.6982
Zr 0.0000 0.0000 0.0000
Zr 0.0000 0.0000 7.6514
Te -3.8088 -3.7520 8.5499
Te -5.1538 1.4225 6.7529
Te -1.4613 -1.7457 5.8330
Te 1.3450 -5.1745 6.7529
Te -0.7812 2.1384 5.8330
Te -2.2425 0.3927 9.4698
Te 2.2425 -0.3927 5.8330
Te 0.7812 -2.1384 9.4698
Te -1.3450 5.1745 8.5499
Te 1.4613 1.7457 9.4698
Te 5.1538 -1.4225 8.5499
Te 3.8088 3.7520 6.7529
```

Calculated values
- formation energy from raw total energies (eV/atom) = -1.12
- symmetry = No. 148



Record 3
Density functional theory data (PBE-GGA) for an optimized crystal structure of ErZrTe4.

Structure (extended XYZ):
```
6
Lattice="6.8181 0.0000 0.0000 0.0000 4.0720 0.0000 -0.0760 0.0000 7.1746" Properties=species:S:1:pos:R:3 pbc="T T T"
Er 0.0000 0.0000 0.0000
Zr -0.0380 2.0360 3.5873
Te 1.7549 0.0000 2.4788
Te 1.7534 2.0360 5.8878
Te 4.9887 2.0360 1.2867
Te 4.9872 0.0000 4.6958
```

Calculated values
- formation energy from raw total energies (eV/atom) = -0.94
- distance to the lowest polymorph of the same formula (meV per atom) = 0
- symmetry = No. 10



no.,spin magnetization (μB per formula unit)
1,0.000
2,1.050
3,0.000